DFT (PBE) results for a relaxed MnFePCl2 crystal.

Summary:
The offset from the most stable computed form comes out at 109.4 meV per atom. The energy is -4.95 eV/atom. Its spin magnetization is 7.4 μB/f.u. As for the space-group type: No. 123. Its uncorrected formation energy is 392 meV per atom.

Structure (POSCAR):
```
MnFePCl2
1.0
4.555 0.000 0.000
0.000 4.555 0.000
0.000 0.000 5.022
Mn Fe P Cl
1 1 1 2
direct
0.000 0.000 0.000
0.500 0.500 0.500
0.000 0.000 0.500
0.000 0.500 0.000
0.500 0.000 0.000
```

---

DFT (PBE) results for a relaxed BaY crystal.

Summary:
The calculation puts the energy relative to the elements at 0.265 eV/atom. The offset from the most stable computed form comes out at 106.3 meV per atom. The energy is -3.93 eV/atom. Its spin magnetization is 0.0 μB/f.u. As for the space-group type: No. 19.

Structure (POSCAR):
```
BaY
1.0
7.349 0.000 0.000
0.000 7.355 0.000
0.000 0.000 12.569
Ba Y
8 8
direct
0.056 0.075 0.264
0.178 0.193 0.985
0.322 0.807 0.485
0.444 0.925 0.764
0.556 0.425 0.736
0.678 0.307 0.015
0.822 0.693 0.515
0.944 0.575 0.236
0.053 0.550 0.780
0.199 0.305 0.529
0.301 0.695 0.029
0.447 0.450 0.280
0.553 0.950 0.220
0.699 0.195 0.471
0.801 0.805 0.971
0.947 0.050 0.720
```

---

DFT (PBE) results for a relaxed TaH3Se crystal.

Summary:
The offset from the most stable computed form comes out at 872.8 meV per atom. The energy is -3.88 eV/atom. Its spin magnetization is 0.0 μB/f.u. As for the space-group type: No. 221.

Structure (POSCAR):
```
TaH3Se
1.0
3.608 0.000 0.000
0.000 3.608 0.000
0.000 0.000 3.608
Ta H Se
1 3 1
direct
0.000 0.000 0.000
0.000 0.500 0.500
0.500 0.000 0.500
0.500 0.500 0.000
0.500 0.500 0.500
```

---

DFT (PBE) results for a relaxed MnNi6W crystal.

Summary:
The calculation puts the energy relative to the elements at -0.095 eV/atom. The energy is -7.20 eV/atom. Its spin magnetization is 5.1 μB/f.u. As for the space-group type: No. 123.

Structure (POSCAR):
```
MnNi6W
1.0
3.615 0.000 0.000
0.000 3.615 0.000
0.000 0.000 7.202
Mn Ni W
1 6 1
direct
0.000 0.000 0.000
0.000 0.500 0.252
0.000 0.500 0.748
0.500 0.000 0.252
0.500 0.000 0.748
0.500 0.500 0.000
0.500 0.500 0.500
0.000 0.000 0.500
```

---

What did the third record say?
DFT (PBE) results for a relaxed TaH3Se crystal.

Summary:
The offset from the most stable computed form comes out at 872.8 meV per atom. The energy is -3.88 eV/atom. Its spin magnetization is 0.0 μB/f.u. As for the space-group type: No. 221.

Structure (POSCAR):
```
TaH3Se
1.0
3.608 0.000 0.000
0.000 3.608 0.000
0.000 0.000 3.608
Ta H Se
1 3 1
direct
0.000 0.000 0.000
0.000 0.500 0.500
0.500 0.000 0.500
0.500 0.500 0.000
0.500 0.500 0.500
```